No. 1
A plane-wave DFT calculation with PBE-GGA was carried out for a geometry-optimized MgAsAu structure.

abc: 4.313 4.313 3.810
angles: 90.00 90.00 120.00
Fractional coordinates of all 3 atoms:
Mg1 0.000 0.000 0.000
As1 0.667 0.333 0.460
Au1 0.333 0.667 0.635

Output
V ... 20.461 Å³ per atom
Calculated formation energy ... -0.233 eV per atom
Crystal system ... trigonal

---

No. 2
A plane-wave DFT calculation with PBE-GGA was carried out for a geometry-optimized CeCoNiSn structure.

abc: 4.637 4.637 4.637
angles: 60.00 60.00 60.00
Fractional coordinates of all 4 atoms:
Ce1 0.000 0.000 0.000
Co1 0.750 0.750 0.750
Ni1 0.250 0.250 0.250
Sn1 0.500 0.500 0.500

Output
V ... 17.626 Å³ per atom
Calculated formation energy ... -0.305 eV per atom
Crystal system ... cubic

---

No. 3
A plane-wave DFT calculation with PBE-GGA was carried out for a geometry-optimized MgSb3C structure.

abc: 5.334 5.334 5.334
angles: 90.00 90.00 90.00
Fractional coordinates of all 5 atoms:
Mg1 0.000 0.000 0.000
Sb1 0.000 0.000 0.500
Sb2 0.000 0.500 0.000
Sb3 0.500 0.000 0.000
C1 0.500 0.500 0.500

Output
V ... 30.346 Å³ per atom
Crystal system ... cubic
Formation energy from raw total energies ... 1.879 eV per atom
E above lowest polymorph ... 511 kJ/mol of formula units

---

No. 4
A plane-wave DFT calculation with PBE-GGA was carried out for a geometry-optimized Tb2AsSe structure.

abc: 4.118 5.818 8.266
angles: 90.00 90.00 90.00
Fractional coordinates of all 8 atoms:
Tb1 0.250 0.250 0.117
Tb2 0.250 0.250 0.637
Tb3 0.750 0.750 0.363
Tb4 0.750 0.750 0.883
As1 0.250 0.750 0.126
As2 0.750 0.250 0.874
Se1 0.250 0.750 0.622
Se2 0.750 0.250 0.378

Output
V ... 24.757 Å³ per atom
Crystal system ... orthorhombic
Formation energy from raw total energies ... -1.723 eV per atom
E above lowest polymorph ... 0 kJ/mol of formula units

---

No. 5
A plane-wave DFT calculation with PBE-GGA was carried out for a geometry-optimized LiTaW4 structure.

abc: 5.289 5.289 5.289
angles: 60.00 60.00 60.00
Fractional coordinates of all 6 atoms:
Li1 0.000 0.000 0.000
Ta1 0.750 0.750 0.750
W1 0.374 0.374 0.374
W2 0.374 0.374 0.877
W3 0.374 0.877 0.374
W4 0.877 0.374 0.374

Output
V ... 17.438 Å³ per atom
Calculated formation energy ... 0.444 eV per atom
Crystal system ... cubic

---

No. 6
A plane-wave DFT calculation with PBE-GGA was carried out for a geometry-optimized CaCrIn2 structure.

abc: 5.263 5.263 5.589
angles: 106.36 106.36 42.49
Fractional coordinates of all 4 atoms:
Ca1 0.000 0.000 0.000
Cr1 0.500 0.500 0.500
In1 0.231 0.231 0.701
In2 0.769 0.769 0.299

Output
V ... 24.919 Å³ per atom
Calculated formation energy ... 0.079 eV per atom
Crystal system ... monoclinic

---

No. 7
A plane-wave DFT calculation with PBE-GGA was carried out for a geometry-optimized TiTlHg2O4 structure.

abc: 6.104 6.072 5.679
angles: 62.49 61.92 55.59
Fractional coordinates of all 8 atoms:
Ti1 0.000 0.000 0.000
Tl1 0.505 0.505 0.495
Hg1 0.252 0.252 0.248
Hg2 0.752 0.752 0.748
O1 0.072 0.693 0.928
O2 0.303 0.929 0.071
O3 0.693 0.072 0.307
O4 0.929 0.303 0.697

Output
V ... 18.446 Å³ per atom
Crystal system ... orthorhombic
Formation energy from raw total energies ... -1.233 eV per atom

---

No. 8
A plane-wave DFT calculation with PBE-GGA was carried out for a geometry-optimized CaLaMg2Ag4 structure.

abc: 8.652 8.652 8.652
angles: 34.46 34.46 34.46
Fractional coordinates of all 8 atoms:
Ca1 0.000 0.000 0.000
La1 0.500 0.500 0.500
Mg1 0.250 0.250 0.250
Mg2 0.750 0.750 0.750
Ag1 0.124 0.124 0.124
Ag2 0.371 0.371 0.371
Ag3 0.629 0.629 0.629
Ag4 0.876 0.876 0.876

Output
V ... 23.124 Å³ per atom
Calculated formation energy ... -0.261 eV per atom
Crystal system ... trigonal

---

- The lowest V belongs to which entry?
  LiTaW4